12
Lattice="-2.078 -0.189 -4.222 -0.956 -4.718 0.384 -6.261 2.161 3.034" Properties=species:S:1:pos:R:3 comment="PBE+U AcTaV2O8, relaxed" rho_g_cm3=6.4 magmom_total_mub_per_fu=2.0 dft_energy_ry_per_atom=-0.6130 pbc="T T T"
O -0.977 -1.410 -1.207
Ta 0.000 0.000 0.000
O -3.209 -0.792 -2.696
Ac -3.130 1.081 1.517
V -6.414 -0.513 0.649
O -4.536 -2.548 -1.026
V -2.880 -2.233 -1.453
O -2.348 -3.378 0.096
O -6.946 0.631 -0.900
O -6.085 -1.955 1.892
O -4.758 -0.198 0.222
O -8.318 -1.336 0.403